The following is a DFT calculation (GGA-PBE) of a relaxed TcTe2As crystal.

Unit cell a=4.4448 b=3.5347 c=5.5748 alpha=90.00 beta=90.20 gamma=90.00
Space group P2/m (No. 10)
Asymmetric unit:
Tc 0.0000 0.0000 0.0000 (multiplicity 1)
Te 0.0000 0.0000 0.5000 (multiplicity 1)
Te 0.5000 0.5000 0.0000 (multiplicity 1)
As 0.5000 0.5000 0.5000 (multiplicity 1)

**Calculated total energy**: -4.913 eV/atom
**DOS(E_F)**: 4.03 states/eV/cell
**V**: 21.90 Å³ per atom
**Formation energy without anion corrections**: 0.412 eV/atom



The following is a DFT calculation (GGA-PBE) of a relaxed K2Hg3PbAu4 crystal.

Unit cell a=5.0195 b=5.0195 c=11.2194 alpha=90.00 beta=90.00 gamma=90.00
Space group P-4m2 (No. 115)
Asymmetric unit:
K 0.0000 0.5000 0.2305 (multiplicity 2)
Hg 0.0000 0.5000 0.8750 (multiplicity 2)
Hg 0.5000 0.5000 0.5000 (multiplicity 1)
Pb 0.0000 0.0000 0.5000 (multiplicity 1)
Au 0.0000 0.0000 0.0000 (multiplicity 1)
Au 0.0000 0.5000 0.6270 (multiplicity 2)
Au 0.5000 0.5000 0.0000 (multiplicity 1)

**Calculated total energy**: -2.167 eV/atom
**DOS(E_F)**: 3.14 states/eV/cell
**V**: 28.27 Å³ per atom



The following is a DFT calculation (GGA-PBE) of a relaxed GeSBrN2 crystal.

Unit cell a=3.6852 b=3.6852 c=6.4719 alpha=90.00 beta=90.00 gamma=90.00
Space group P4/mmm (No. 123)
Asymmetric unit:
Ge 0.0000 0.0000 0.0000 (multiplicity 1)
S 0.0000 0.0000 0.5000 (multiplicity 1)
Br 0.5000 0.5000 0.5000 (multiplicity 1)
N 0.0000 0.5000 0.0000 (multiplicity 2)

**Offset from the most stable computed form**: 0.0 meV/atom
**Calculated total energy**: -4.115 eV/atom
**DOS(E_F)**: 3.79 states/eV/cell
**V**: 17.58 Å³ per atom
**Formation energy without anion corrections**: 1.299 eV/atom



The following is a DFT calculation (GGA-PBE) of a relaxed NbNi2W2 crystal.

Unit cell a=7.3726 b=7.3726 c=2.6799 alpha=90.00 beta=90.00 gamma=90.00
Space group P4/mbm (No. 127)
Asymmetric unit:
Nb 0.0000 0.0000 0.0000 (multiplicity 2)
Ni 0.1188 0.3812 0.0000 (multiplicity 4)
W 0.1752 0.6752 0.5000 (multiplicity 4)

**Offset from the most stable computed form**: 0.0 meV/atom
**Calculated total energy**: -9.418 eV/atom
**DOS(E_F)**: 5.43 states/eV/cell
**V**: 14.57 Å³ per atom



The following is a DFT calculation (GGA-PBE) of a relaxed PSe crystal.

Unit cell a=8.4909 b=8.4909 c=6.8292 alpha=90.00 beta=90.00 gamma=120.00
Space group P6_3/m (No. 176)
Asymmetric unit:
P 0.0702 0.3924 0.2500 (multiplicity 6)
Se 0.0688 0.6541 0.2500 (multiplicity 6)

**Offset from the most stable computed form**: 431.9 meV/atom
**Calculated total energy**: -4.095 eV/atom
**DOS(E_F)**: 6.76 states/eV/cell
**V**: 35.53 Å³ per atom
**Formation energy without anion corrections**: 0.352 eV/atom



The following is a DFT calculation (GGA-PBE) of a relaxed KZr2Ru crystal.

Unit cell a=7.0736 b=7.0736 c=7.0736 alpha=90.00 beta=90.00 gamma=90.00
Space group F-43m (No. 216)
Asymmetric unit:
K 0.0000 0.0000 0.0000 (multiplicity 4)
Zr 0.0000 0.0000 0.5000 (multiplicity 4)
Zr 0.2500 0.2500 0.7500 (multiplicity 4)
Ru 0.2500 0.2500 0.2500 (multiplicity 4)

**Offset from the most stable computed form**: 847.2 meV/atom
**Calculated total energy**: -5.874 eV/atom
**DOS(E_F)**: 22.19 states/eV/cell
**V**: 22.12 Å³ per atom



The following is a DFT calculation (GGA-PBE) of a relaxed GdDyHg4 crystal.

Unit cell a=8.4246 b=8.4246 c=8.4246 alpha=90.00 beta=90.00 gamma=90.00
Space group F-43m (No. 216)
Asymmetric unit:
Gd 0.0000 0.0000 0.0000 (multiplicity 4)
Dy 0.2500 0.2500 0.2500 (multiplicity 4)
Hg 0.1249 0.1249 0.6249 (multiplicity 16)

**Calculated total energy**: -3.532 eV/atom
**DOS(E_F)**: 26.94 states/eV/cell
**V**: 24.91 Å³ per atom



The following is a DFT calculation (GGA-PBE) of a relaxed NaNb2Bi2O9 crystal.

Unit cell a=24.4117 b=5.5427 c=5.6823 alpha=90.00 beta=90.00 gamma=90.00
Space group Cmc2_1 (No. 36)
Asymmetric unit:
Na 0.0000 0.2317 0.0000 (multiplicity 4)
Nb 0.0790 0.2602 0.5192 (multiplicity 8)
Bi 0.1970 0.2153 0.9231 (multiplicity 8)
O 0.0000 0.3418 0.5875 (multiplicity 4)
O 0.0630 0.0437 0.2764 (multiplicity 8)
O 0.0968 0.4528 0.8507 (multiplicity 8)
O 0.1558 0.1439 0.5642 (multiplicity 8)
O 0.2455 0.4894 0.7100 (multiplicity 8)

**Calculated total energy**: -7.198 eV/atom
**DOS(E_F)**: 26.03 states/eV/cell
**V**: 13.73 Å³ per atom
**Formation energy without anion corrections**: -1.924 eV/atom



The following is a DFT calculation (GGA-PBE) of a relaxed Li3TlN crystal.

Unit cell a=4.9345 b=4.9345 c=4.9345 alpha=90.00 beta=90.00 gamma=90.00
Space group Pm-3m (No. 221)
Asymmetric unit:
Li 0.0000 0.0000 0.5000 (multiplicity 3)
Tl 0.0000 0.0000 0.0000 (multiplicity 1)
N 0.5000 0.5000 0.5000 (multiplicity 1)

**Offset from the most stable computed form**: 1439.5 meV/atom
**Calculated total energy**: -2.016 eV/atom
**DOS(E_F)**: 4.26 states/eV/cell
**V**: 24.03 Å³ per atom
**Formation energy without anion corrections**: 1.270 eV/atom



The following is a DFT calculation (GGA-PBE) of a relaxed AlP2CCl crystal.

Unit cell a=4.0171 b=4.0171 c=4.7420 alpha=90.00 beta=90.00 gamma=90.00
Space group P4/mmm (No. 123)
Asymmetric unit:
Al 0.0000 0.0000 0.0000 (multiplicity 1)
P 0.0000 0.5000 0.5000 (multiplicity 2)
C 0.5000 0.5000 0.5000 (multiplicity 1)
Cl 0.5000 0.5000 0.0000 (multiplicity 1)

**Offset from the most stable computed form**: 0.0 meV/atom
**Calculated total energy**: -4.052 eV/atom
**DOS(E_F)**: 3.22 states/eV/cell
**V**: 15.30 Å³ per atom
**Formation energy without anion corrections**: 1.075 eV/atom



The following is a DFT calculation (GGA-PBE) of a relaxed TbB5Ir6 crystal.

Unit cell a=5.8656 b=9.4222 c=6.3547 alpha=90.00 beta=117.05 gamma=90.00
Space group C2/m (No. 12)
Asymmetric unit:
Tb 0.0000 0.0000 0.0000 (multiplicity 2)
B 0.0000 0.0945 0.5000 (multiplicity 4)
B 0.0000 0.3199 0.0000 (multiplicity 4)
B 0.0000 0.5000 0.5000 (multiplicity 2)
Ir 0.1267 0.2554 0.7473 (multiplicity 8)
Ir 0.1372 0.5000 0.2601 (multiplicity 4)

**Calculated total energy**: -8.047 eV/atom
**DOS(E_F)**: 4.42 states/eV/cell
**V**: 13.03 Å³ per atom



The following is a DFT calculation (GGA-PBE) of a relaxed Rb4OF crystal.

Unit cell a=16.2284 b=4.1961 c=7.2303 alpha=90.00 beta=101.19 gamma=90.00
Space group C2/m (No. 12)
Asymmetric unit:
Rb 0.0917 0.0000 0.3582 (multiplicity 4)
Rb 0.0935 0.5000 0.8859 (multiplicity 4)
O 0.0000 0.0000 0.0000 (multiplicity 2)
F 0.0000 0.5000 0.5000 (multiplicity 2)

**Offset from the most stable computed form**: 0.0 meV/atom
**Calculated total energy**: -3.153 eV/atom
**DOS(E_F)**: 2.66 states/eV/cell
**V**: 40.25 Å³ per atom
**Formation energy without anion corrections**: -1.370 eV/atom



The following is a DFT calculation (GGA-PBE) of a relaxed NaIr2Au crystal.

Unit cell a=3.7379 b=3.7379 c=20.0519 alpha=90.00 beta=90.00 gamma=90.00
Space group I-42d (No. 122)
Asymmetric unit:
Na 0.0000 0.0000 0.0000 (multiplicity 4)
Ir 0.2490 0.2500 0.1250 (multiplicity 8)
Au 0.0000 0.0000 0.5000 (multiplicity 4)

**Offset from the most stable computed form**: 0.0 meV/atom
**Calculated total energy**: -4.937 eV/atom
**DOS(E_F)**: 19.68 states/eV/cell
**V**: 17.51 Å³ per atom



The following is a DFT calculation (GGA-PBE) of a relaxed MgTaAl2 crystal.

Unit cell a=2.9930 b=2.9930 c=28.1422 alpha=90.00 beta=90.00 gamma=120.00
Space group R-3m (No. 166, hexagonal axes)
Asymmetric unit:
Mg 0.0000 0.0000 0.0000 (multiplicity 3)
Ta 0.0000 0.0000 0.5000 (multiplicity 3)
Al 0.0000 0.0000 0.2473 (multiplicity 6)

**Calculated total energy**: -5.287 eV/atom
**DOS(E_F)**: 6.29 states/eV/cell
**V**: 18.19 Å³ per atom



The following is a DFT calculation (GGA-PBE) of a relaxed Ac4TeRhSe2 crystal.

Unit cell a=7.8775 b=4.4264 c=8.0504 alpha=90.00 beta=108.29 gamma=90.00
Space group P2/m (No. 10)
Asymmetric unit:
Ac 0.2317 0.0000 0.2216 (multiplicity 2)
Ac 0.2536 0.5000 0.7697 (multiplicity 2)
Te 0.0000 0.0000 0.5000 (multiplicity 1)
Rh 0.0000 0.5000 0.0000 (multiplicity 1)
Se 0.5000 0.0000 0.0000 (multiplicity 1)
Se 0.5000 0.5000 0.5000 (multiplicity 1)

**Calculated total energy**: -5.671 eV/atom
**DOS(E_F)**: 6.74 states/eV/cell
**V**: 33.32 Å³ per atom
**Formation energy without anion corrections**: -1.434 eV/atom



The following is a DFT calculation (GGA-PBE) of a relaxed Th2Te2I3 crystal.

Unit cell a=4.4602 b=4.4565 c=16.5065 alpha=90.00 beta=97.89 gamma=90.00
Space group P2/m (No. 10)
Asymmetric unit:
Th 0.0993 0.0000 0.1957 (multiplicity 2)
Te 0.4078 0.5000 0.8182 (multiplicity 2)
I 0.0000 0.0000 0.0000 (multiplicity 1)
I 0.1896 0.0000 0.3743 (multiplicity 2)

**Calculated total energy**: -4.788 eV/atom
**DOS(E_F)**: 1.85 states/eV/cell
**V**: 46.43 Å³ per atom
**Formation energy without anion corrections**: -1.106 eV/atom



The following is a DFT calculation (GGA-PBE) of a relaxed Al2CuP crystal.

Unit cell a=2.7085 b=3.0430 c=7.3274 alpha=90.00 beta=90.00 gamma=90.00
Space group Pmmm (No. 47)
Asymmetric unit:
Al 0.0000 0.0000 0.2222 (multiplicity 2)
Cu 0.5000 0.5000 0.0000 (multiplicity 1)
P 0.0000 0.5000 0.5000 (multiplicity 1)

**Calculated total energy**: -4.301 eV/atom
**DOS(E_F)**: 1.47 states/eV/cell
**V**: 15.10 Å³ per atom



The following is a DFT calculation (GGA-PBE) of a relaxed PaCo5As3 crystal.

Unit cell a=3.6048 b=12.0976 c=11.8762 alpha=90.00 beta=90.00 gamma=90.00
Space group Cmcm (No. 63)
Asymmetric unit:
Pa 0.0000 0.1212 0.2500 (multiplicity 4)
Co 0.0000 0.0000 0.0000 (multiplicity 4)
Co 0.0000 0.1970 0.5709 (multiplicity 8)
Co 0.0000 0.4619 0.1481 (multiplicity 8)
As 0.0000 0.1292 0.7500 (multiplicity 4)
As 0.0000 0.3779 0.5358 (multiplicity 8)

**Calculated total energy**: -6.935 eV/atom
**DOS(E_F)**: 28.33 states/eV/cell
**V**: 14.39 Å³ per atom



The following is a DFT calculation (GGA-PBE) of a relaxed Ho2Ag2Pt crystal.

Unit cell a=6.5526 b=12.5213 c=5.6180 alpha=90.00 beta=90.00 gamma=90.00
Space group Ibam (No. 72)
Asymmetric unit:
Ho 0.2049 0.1621 0.0000 (multiplicity 8)
Ag 0.1463 0.4084 0.0000 (multiplicity 8)
Pt 0.0000 0.0000 0.2500 (multiplicity 4)

**Offset from the most stable computed form**: 127.7 meV/atom
**Calculated total energy**: -4.658 eV/atom
**DOS(E_F)**: 12.81 states/eV/cell
**V**: 23.05 Å³ per atom



The following is a DFT calculation (GGA-PBE) of a relaxed LaTa2Mo crystal.

Unit cell a=3.1889 b=3.1889 c=28.3704 alpha=90.00 beta=90.00 gamma=120.00
Space group R3m (No. 160, hexagonal axes)
Asymmetric unit:
La 0.0000 0.0000 0.0000 (multiplicity 3)
Ta 0.0000 0.0000 0.5094 (multiplicity 3)
Ta 0.0000 0.0000 0.7652 (multiplicity 3)
Mo 0.0000 0.0000 0.2436 (multiplicity 3)

**Offset from the most stable computed form**: 288.9 meV/atom
**Calculated total energy**: -9.371 eV/atom
**DOS(E_F)**: 11.66 states/eV/cell
**V**: 20.82 Å³ per atom



no.,density (g cm⁻³)
1,8.12
2,9.84
3,4.02
4,13.18
5,2.57
6,6.05
7,12.47
8,6.66
9,3.31
10,2.96
11,14.51
12,2.59
13,14.33
14,5.91
15,8.08
16,5.62
17,4.08
18,9.62
19,10.67
20,11.90